Entry 1:
# Sr3W2O9, relaxed, DFT GGA+U
# Magnetization, Bohr magnetons per cell: 0.00
# Volume, Å³ per cell: 651.86
# Total DFT energy (no corrections), eV/atom: -7.05
# Energy above the lowest structure with this stoichiometry, eV per atom: 0.033
data_Sr3W2O9
_cell_length_a 9.164
_cell_length_b 8.089
_cell_length_c 9.906
_cell_angle_alpha 90.00
_cell_angle_beta 117.41
_cell_angle_gamma 90.00
_space_group_name_H-M_alt 'P 1 21/m 1'
_space_group_IT_number 11
_space_group_name_Hall '-P 2yb'
loop_
_atom_site_label
_atom_site_type_symbol
_atom_site_fract_x
_atom_site_fract_y
_atom_site_fract_z
Sr1 Sr 0.000 0.000 0.000
Sr2 Sr 0.149 0.250 0.767
Sr3 Sr 0.381 0.250 0.235
W1 W 0.140 0.750 0.714
W2 W 0.425 0.750 0.285
O1 O 0.033 0.750 0.509
O2 O 0.086 0.564 0.787
O3 O 0.139 0.250 0.000
O4 O 0.298 0.564 0.214
O5 O 0.359 0.750 0.774
O6 O 0.420 0.250 0.780
O7 O 0.474 0.250 0.510

=====

Entry 2:
# SrW4O12, relaxed, DFT GGA+U
# Magnetization, Bohr magnetons per cell: 2.70
# Volume, Å³ per cell: 479.10
# Total DFT energy (no corrections), eV/atom: -7.44
data_SrW4O12
_cell_length_a 7.825
_cell_length_b 7.825
_cell_length_c 7.825
_cell_angle_alpha 90.00
_cell_angle_beta 90.00
_cell_angle_gamma 90.00
_space_group_name_H-M_alt 'I m -3'
_space_group_IT_number 204
_space_group_name_Hall '-I 2 2 3'
loop_
_atom_site_label
_atom_site_type_symbol
_atom_site_fract_x
_atom_site_fract_y
_atom_site_fract_z
Sr1 Sr 0.000 0.000 0.000
W1 W 0.250 0.250 0.250
O1 O 0.000 0.245 0.247

=====

Entry 3:
# SrYWO6, relaxed, DFT GGA+U
# Magnetization, Bohr magnetons per cell: 1.06
# Volume, Å³ per cell: 144.59
# Total DFT energy (no corrections), eV/atom: -7.52
data_SrYWO6
_cell_length_a 5.6670
_cell_length_b 5.6670
_cell_length_c 5.1990
_cell_angle_alpha 90.00
_cell_angle_beta 90.00
_cell_angle_gamma 120.00
_space_group_name_H-M_alt 'P 3 1 2'
_space_group_IT_number 149
_space_group_name_Hall 'P 3 2'
loop_
_atom_site_label
_atom_site_type_symbol
_atom_site_fract_x
_atom_site_fract_y
_atom_site_fract_z
Sr1 Sr 0.0000 0.0000 0.0000
Y1 Y 0.3333 0.6667 0.5000
W1 W 0.6667 0.3333 0.5000
O1 O 0.3861 0.0412 0.7097

=====

Entry 4:
# SrZnWO2, relaxed, DFT GGA+U
# Magnetization, Bohr magnetons per cell: 5.76
# Volume, Å³ per cell: 95.08
# Total DFT energy (no corrections), eV/atom: -3.78
data_SrZnWO2
_cell_length_a 4.398
_cell_length_b 4.398
_cell_length_c 4.916
_cell_angle_alpha 90.00
_cell_angle_beta 90.00
_cell_angle_gamma 90.00
_space_group_name_H-M_alt 'P 4/m m m'
_space_group_IT_number 123
_space_group_name_Hall '-P 4 2'
loop_
_atom_site_label
_atom_site_type_symbol
_atom_site_fract_x
_atom_site_fract_y
_atom_site_fract_z
Sr1 Sr 0.000 0.000 0.000
Zn1 Zn 0.500 0.500 0.500
W1 W 0.500 0.500 0.000
O1 O 0.000 0.500 0.500